## BaNaTlPd3 (PBE)

Data for a geometry-optimized BaNaTlPd3 structure.

The structure in extended XYZ format:
```
12
Lattice="3.162 -6.463 0.000 3.162 6.463 0.000 0.000 0.000 7.011" Properties=species:S:1:pos:R:3 pbc="T T T"
Ba 3.162 4.258 5.258
Ba 3.162 -4.258 1.753
Na 3.162 1.196 5.258
Na 3.162 -1.196 1.753
Tl 3.162 4.663 1.753
Tl 3.162 -4.663 5.258
Pd 1.444 0.000 0.000
Pd 1.444 0.000 3.506
Pd 3.162 1.761 1.753
Pd 3.162 -1.761 5.258
Pd 4.880 0.000 0.000
Pd 4.880 0.000 3.506
```

SG = Cmcm, No. 63
M_tot = 0.0 Bohr magnetons per cell
ΔE_f = -0.186 eV/atom


## LaCePrHo (PBE)

Data for a geometry-optimized LaCePrHo structure.

The structure in extended XYZ format:
```
4
Lattice="0.000 4.095 4.095 4.095 0.000 4.095 4.095 4.095 0.000" Properties=species:S:1:pos:R:3 pbc="T T T"
La 0.000 0.000 0.000
Ce 6.142 6.142 6.142
Pr 4.095 4.095 4.095
Ho 2.047 2.047 2.047
```

SG = F-43m, No. 216
M_tot = 3.2 Bohr magnetons per cell
ΔE_f = 0.197 eV/atom


## LiCa2Ga3Ge4 (PBE)

Data for a geometry-optimized LiCa2Ga3Ge4 structure.

The structure in extended XYZ format:
```
10
Lattice="4.508 0.000 0.000 0.000 4.508 0.000 0.000 0.000 10.348" Properties=species:S:1:pos:R:3 pbc="T T T"
Li 0.000 0.000 0.000
Ca 0.000 2.254 7.792
Ca 2.254 0.000 2.556
Ga 0.000 2.254 3.821
Ga 2.254 0.000 6.526
Ga 2.254 2.254 0.000
Ge 0.000 0.000 5.174
Ge 0.000 2.254 1.354
Ge 2.254 0.000 8.994
Ge 2.254 2.254 5.174
```

SG = P-4m2, No. 115
M_tot = 0.0 Bohr magnetons per cell
ΔE_f = -0.323 eV/atom


## TaMnOs2 (PBE)

Data for a geometry-optimized TaMnOs2 structure.

The structure in extended XYZ format:
```
4
Lattice="-1.930 1.930 3.965 1.930 -1.930 3.965 1.930 1.930 -3.965" Properties=species:S:1:pos:R:3 pbc="T T T"
Ta 0.000 0.000 0.000
Mn 1.930 0.000 1.983
Os 0.000 0.000 3.965
Os 0.000 1.930 1.983
```

SG = I-4m2, No. 119
M_tot = 2.0 Bohr magnetons per cell
ΔE_f = -0.055 eV/atom


## CaGeHSe (PBE)

Data for a geometry-optimized CaGeHSe structure.

The structure in extended XYZ format:
```
4
Lattice="4.530 0.000 0.000 -0.023 4.647 0.000 -1.327 -2.295 4.188" Properties=species:S:1:pos:R:3 pbc="T T T"
Ca 0.000 0.000 0.000
Ge 1.352 2.334 1.733
H 0.798 2.329 3.281
Se 2.511 0.015 2.137
```

SG = P1, No. 1
Relative energy among the computed polymorphs = 75 meV per atom
M_tot = 0.0 Bohr magnetons per cell


## MgZrBr2 (PBE)

Data for a geometry-optimized MgZrBr2 structure.

The structure in extended XYZ format:
```
4
Lattice="5.871 -1.687 0.000 5.871 1.687 0.000 -3.072 0.000 7.234" Properties=species:S:1:pos:R:3 pbc="T T T"
Mg 0.000 0.000 0.000
Zr 8.560 0.000 0.001
Br -0.036 0.000 5.116
Br 3.058 0.000 2.116
```

SG = Cm, No. 8
Relative energy among the computed polymorphs = 165 meV per atom
M_tot = 0.0 Bohr magnetons per cell


## Pr3Ag5Te12 (PBE)

Data for a geometry-optimized Pr3Ag5Te12 structure.

The structure in extended XYZ format:
```
80
Lattice="-8.735 8.735 8.735 8.735 -8.735 8.735 8.735 8.735 -8.735" Properties=species:S:1:pos:R:3 pbc="T T T"
Pr 4.367 2.184 0.000
Pr 8.735 4.367 -2.184
Pr 2.184 0.000 4.367
Pr 10.919 0.000 4.367
Pr 0.000 4.367 2.184
Pr 4.367 -2.184 8.735
Pr 4.367 10.919 0.000
Pr 8.735 4.367 6.551
Pr -2.184 8.735 4.367
Pr 6.551 8.735 4.367
Pr 0.000 4.367 10.919
Pr 4.367 6.551 8.735
Ag 0.000 0.000 0.000
Ag 4.367 4.367 -4.367
Ag 4.367 -4.367 4.367
Ag 8.735 0.000 0.000
Ag 13.102 2.184 0.000
Ag 8.735 -4.367 6.551
Ag 6.551 8.735 -4.367
Ag 6.551 0.000 4.367
Ag 4.367 6.551 0.000
Ag 8.735 4.367 2.184
Ag -4.367 4.367 4.367
Ag 0.000 8.735 0.000
Ag 0.000 0.000 8.735
Ag 4.367 4.367 4.367
Ag 0.000 4.367 6.551
Ag 4.367 2.184 8.735
Ag 2.184 8.735 4.367
Ag 2.184 0.000 13.102
Ag 0.000 13.102 2.184
Ag -4.367 6.551 8.735
Te 2.614 -0.363 1.103
Te 10.488 5.471 -4.730
Te 11.349 0.363 1.103
Te 10.488 -3.264 4.730
Te 8.372 -1.103 2.614
Te 13.465 -1.753 3.264
Te 1.103 2.614 -0.363
Te 11.999 4.004 -1.753
Te 5.471 4.730 -1.753
Te 7.632 2.614 0.363
Te -0.363 1.103 2.614
Te 4.730 -1.753 5.471
Te 8.372 7.632 -2.614
Te 4.730 1.753 3.264
Te 5.471 -4.730 10.488
Te 7.632 -2.614 8.372
Te 3.264 4.730 1.753
Te 9.838 6.121 0.363
Te 4.730 10.488 -3.264
Te 8.372 1.103 6.121
Te 2.614 8.372 -1.103
Te 10.488 3.264 4.004
Te 1.753 3.264 4.730
Te 2.614 0.363 7.632
Te 6.121 8.372 1.103
Te 6.982 5.471 4.004
Te -1.753 5.471 4.730
Te 6.121 0.363 9.838
Te 0.363 7.632 2.614
Te 4.004 -1.753 11.999
Te -1.103 2.614 8.372
Te 5.471 4.004 6.982
Te 1.103 11.349 0.363
Te 3.264 13.465 -1.753
Te 4.004 6.982 5.471
Te 0.363 1.103 11.349
Te 4.004 10.488 3.264
Te 9.098 7.632 6.121
Te 1.103 6.121 8.372
Te 3.264 4.004 10.488
Te -3.264 4.730 10.488
Te 7.632 6.121 9.098
Te -4.730 10.488 5.471
Te 0.363 9.838 6.121
Te -1.753 11.999 4.004
Te -2.614 8.372 7.632
Te -1.753 3.264 13.465
Te 6.121 9.098 7.632
```

SG = Ia-3d, No. 230
Total energy = -3.725 eV per atom
M_tot = 0.0 Bohr magnetons per cell


## Mg3ScAu2 (PBE)

Data for a geometry-optimized Mg3ScAu2 structure.

The structure in extended XYZ format:
```
12
Lattice="4.286 0.000 0.000 0.000 8.414 0.000 0.000 0.000 6.749" Properties=species:S:1:pos:R:3 pbc="T T T"
Mg 0.000 0.662 0.000
Mg 0.000 2.561 2.635
Mg 0.000 5.853 6.009
Mg 0.000 7.751 3.374
Mg 2.143 1.590 4.620
Mg 2.143 6.824 1.246
Sc 2.143 3.586 0.463
Sc 2.143 4.828 3.837
Au 0.000 3.214 5.331
Au 0.000 5.199 1.957
Au 2.143 1.055 1.900
Au 2.143 7.359 5.274
```

SG = Pmc2_1, No. 26
M_tot = 0.0 Bohr magnetons per cell
ΔE_f = -0.557 eV/atom


## Cu2SiAu (PBE)

Data for a geometry-optimized Cu2SiAu structure.

The structure in extended XYZ format:
```
4
Lattice="-1.890 1.900 3.866 1.890 -1.900 3.866 1.890 1.900 -3.866" Properties=species:S:1:pos:R:3 pbc="T T T"
Cu 0.000 0.000 1.928
Cu 0.000 0.000 5.804
Si 1.890 0.000 0.000
Au 0.000 1.900 0.000
```

SG = Immm, No. 71
Total energy = -4.196 eV per atom
M_tot = 0.0 Bohr magnetons per cell


## LiSmHoGe (PBE)

Data for a geometry-optimized LiSmHoGe structure.

The structure in extended XYZ format:
```
4
Lattice="0.000 3.577 3.577 3.577 0.000 3.577 3.577 3.577 0.000" Properties=species:S:1:pos:R:3 pbc="T T T"
Li 0.000 0.000 0.000
Sm 1.789 1.789 1.789
Ho 5.366 5.366 5.366
Ge 3.577 3.577 3.577
```

SG = F-43m, No. 216
M_tot = 0.0 Bohr magnetons per cell
ΔE_f = -0.413 eV/atom


## TiAg3Ir (PBE)

Data for a geometry-optimized TiAg3Ir structure.

The structure in extended XYZ format:
```
5
Lattice="4.973 0.000 0.000 0.000 4.973 0.000 0.000 0.000 4.973" Properties=species:S:1:pos:R:3 pbc="T T T"
Ti 0.000 0.000 0.000
Ag 0.000 2.486 2.486
Ag 2.486 0.000 2.486
Ag 2.486 2.486 0.000
Ir 2.486 2.486 2.486
```

SG = Pm-3m, No. 221
Relative energy among the computed polymorphs = 0 meV per atom
M_tot = 0.0 Bohr magnetons per cell
ΔE_f = 1.410 eV/atom


## Li2Hg3O4F2 (PBE)

Data for a geometry-optimized Li2Hg3O4F2 structure.

The structure in extended XYZ format:
```
11
Lattice="-1.952 1.952 9.203 1.952 -1.952 9.203 1.952 1.952 -9.203" Properties=species:S:1:pos:R:3 pbc="T T T"
Li 0.000 0.000 1.904
Li 0.000 0.000 16.502
Hg 0.000 0.000 6.130
Hg 0.000 0.000 9.203
Hg 0.000 0.000 12.276
O 1.952 0.000 1.567
O 1.952 0.000 7.636
O 0.000 1.952 1.567
O 0.000 1.952 7.636
F 0.000 0.000 3.918
F 0.000 0.000 14.488
```

SG = I4/mmm, No. 139
Total energy = -3.366 eV per atom
M_tot = 2.1 Bohr magnetons per cell


## NdYErMg (PBE)

Data for a geometry-optimized NdYErMg structure.

The structure in extended XYZ format:
```
4
Lattice="0.000 3.926 3.926 3.926 0.000 3.926 3.926 3.926 0.000" Properties=species:S:1:pos:R:3 pbc="T T T"
Nd 0.000 0.000 0.000
Y 3.926 3.926 3.926
Er 5.889 5.889 5.889
Mg 1.963 1.963 1.963
```

SG = F-43m, No. 216
Relative energy among the computed polymorphs = 59 meV per atom
M_tot = 0.0 Bohr magnetons per cell
ΔE_f = 0.027 eV/atom


## Pr8Ho6Er (PBE)

Data for a geometry-optimized Pr8Ho6Er structure.

The structure in extended XYZ format:
```
15
Lattice="9.462 0.000 0.000 -4.731 8.194 0.000 0.000 0.000 6.612" Properties=species:S:1:pos:R:3 pbc="T T T"
Pr -3.191 6.147 1.111
Pr 1.003 2.357 1.111
Pr 2.543 0.310 5.501
Pr 0.000 5.463 0.796
Pr 4.731 2.731 5.816
Pr 2.188 7.884 1.111
Pr 3.728 5.837 5.501
Pr 7.922 2.047 5.501
Ho -2.215 5.389 4.336
Ho 1.172 3.581 4.336
Ho 3.687 0.776 2.276
Ho 1.044 7.418 4.336
Ho 3.559 4.613 2.276
Ho 6.946 2.805 2.276
Er 0.000 0.000 3.306
```

SG = P-3, No. 147
Relative energy among the computed polymorphs = 4 meV per atom
M_tot = 0.0 Bohr magnetons per cell
ΔE_f = 0.171 eV/atom


## TbPm5Pr8 (PBE)

Data for a geometry-optimized TbPm5Pr8 structure.

The structure in extended XYZ format:
```
14
Lattice="-4.933 4.933 5.184 4.933 -4.933 5.184 4.933 4.933 -5.184" Properties=species:S:1:pos:R:3 pbc="T T T"
Tb 0.000 0.000 0.000
Pm 5.980 2.041 -1.812
Pm 4.933 0.000 2.592
Pm 2.041 3.886 1.812
Pm -1.047 2.892 3.372
Pm 2.892 1.047 6.996
Pr 3.120 0.823 0.042
Pr 3.230 4.251 -1.596
Pr 4.110 -1.813 5.142
Pr 1.703 0.682 3.588
Pr 5.615 3.230 1.596
Pr 0.823 6.746 -0.042
Pr -0.682 1.703 6.780
Pr 1.813 4.110 5.226
```

SG = I-4, No. 82
M_tot = 0.0 Bohr magnetons per cell
ΔE_f = 0.233 eV/atom


## Sm2HoCd (PBE)

Data for a geometry-optimized Sm2HoCd structure.

The structure in extended XYZ format:
```
4
Lattice="5.583 0.000 0.000 0.000 5.583 0.000 0.000 0.000 3.800" Properties=species:S:1:pos:R:3 pbc="T T T"
Sm 0.000 2.792 0.000
Sm 2.792 0.000 0.000
Ho 0.000 0.000 1.900
Cd 2.792 2.792 1.900
```

SG = P4/mmm, No. 123
Relative energy among the computed polymorphs = 71 meV per atom
M_tot = 0.0 Bohr magnetons per cell
ΔE_f = -0.080 eV/atom


## SrScTi2Re (PBE)

Data for a geometry-optimized SrScTi2Re structure.

The structure in extended XYZ format:
```
5
Lattice="4.821 0.000 0.000 0.000 4.821 0.000 0.000 0.000 5.702" Properties=species:S:1:pos:R:3 pbc="T T T"
Sr 0.000 0.000 0.000
Sc 2.411 2.411 0.000
Ti 0.000 2.411 2.851
Ti 2.411 0.000 2.851
Re 0.000 0.000 2.851
```

SG = P4/mmm, No. 123
M_tot = 0.0 Bohr magnetons per cell
ΔE_f = 0.791 eV/atom


## CrTeRu (PBE)

Data for a geometry-optimized CrTeRu structure.

The structure in extended XYZ format:
```
3
Lattice="-1.611 1.963 4.015 1.611 -1.963 4.015 1.611 1.963 -4.015" Properties=species:S:1:pos:R:3 pbc="T T T"
Cr 0.000 0.000 0.000
Te 0.000 0.000 5.433
Ru 0.000 0.000 2.817
```

SG = Imm2, No. 44
Relative energy among the computed polymorphs = 320 meV per atom
M_tot = 2.6 Bohr magnetons per cell


## PrPuSbN (PBE)

Data for a geometry-optimized PrPuSbN structure.

The structure in extended XYZ format:
```
8
Lattice="4.699 0.000 0.000 0.000 4.699 0.000 0.000 0.000 8.971" Properties=species:S:1:pos:R:3 pbc="T T T"
Pr 1.175 3.524 0.000
Pr 3.524 1.175 0.000
Pu 1.175 1.175 2.994
Pu 3.524 3.524 5.977
Sb 1.175 1.175 6.214
Sb 3.524 3.524 2.756
N 1.175 1.175 0.887
N 3.524 3.524 8.084
```

SG = P4/nmm, No. 129
Total energy = -8.912 eV per atom
M_tot = 9.8 Bohr magnetons per cell


## PmPr2Ru2 (PBE)

Data for a geometry-optimized PmPr2Ru2 structure.

The structure in extended XYZ format:
```
10
Lattice="5.806 -2.310 0.000 5.806 2.310 0.000 -4.347 0.000 9.377" Properties=species:S:1:pos:R:3 pbc="T T T"
Pm 0.888 0.000 3.411
Pm 6.378 0.000 5.966
Pr -0.253 0.000 8.609
Pr 4.282 0.000 2.859
Pr 2.984 0.000 6.519
Pr 7.518 0.000 0.768
Ru -3.446 0.000 8.491
Ru -1.242 0.000 5.611
Ru 8.507 0.000 3.767
Ru 10.711 0.000 0.887
```

SG = C2/m, No. 12
M_tot = 0.0 Bohr magnetons per cell
ΔE_f = -0.124 eV/atom